Record 1
Re: relaxed, PBE.

Structure (POSCAR):
```
Re
1.0
-0.888 -6.821 -3.478
7.651 -0.656 -0.665
0.293 -3.529 6.846
Re
16
Cartesian
1.258 -1.962 0.482
2.559 -3.991 0.980
2.395 -6.835 1.906
4.741 -5.141 2.678
4.998 -3.776 0.632
5.610 -6.774 -2.185
2.375 -4.800 3.310
6.087 -9.495 2.331
6.518 -1.988 -0.111
1.182 -4.072 5.337
0.326 -6.459 -2.151
6.370 -4.655 4.459
4.786 -7.465 1.833
0.875 -8.623 2.649
1.954 -5.973 -0.370
4.417 -6.046 -0.159
```

Results
ΔE_f	2.0502	eV per atom
V	28.62	Å³ per atom
ρ	10.80	g/cm3
magnetic moment	0.000	μB/atom
relative energy among the computed polymorphs	2050	meV per atom


Record 2
Re: relaxed, PBE.

Structure (POSCAR):
```
Re
1.0
8.050 0.000 0.000
0.000 8.050 0.000
0.000 0.000 3.986
Re
16
Cartesian
5.345 5.345 0.000
1.320 1.320 1.993
5.345 2.706 0.000
6.731 1.320 1.993
2.672 0.000 0.000
1.320 6.731 1.993
6.731 6.731 1.993
0.000 2.672 0.000
6.697 4.025 1.993
0.000 5.379 0.000
4.025 1.353 1.993
1.353 4.025 1.993
4.025 6.697 1.993
5.379 0.000 0.000
2.706 2.706 0.000
2.706 5.345 0.000
```

Results
ΔE_f	0.4416	eV per atom
V	16.15	Å³ per atom
ρ	19.15	g/cm3
magnetic moment	0.000	μB/atom
relative energy among the computed polymorphs	442	meV per atom


Record 3
Re: relaxed, PBE.

Structure (POSCAR):
```
Re
1.0
-2.468 0.590 -1.109
-2.318 -0.534 1.417
-1.512 2.085 1.017
Re
1
Cartesian
0.000 0.000 0.000
```

Results
ΔE_f	0.0579	eV per atom
V	15.01	Å³ per atom
ρ	20.59	g/cm3
magnetic moment	0.000	μB/atom
relative energy among the computed polymorphs	58	meV per atom


Record 4
Re: relaxed, PBE.

Structure (POSCAR):
```
Re
1.0
4.742 -0.020 0.000
-3.114 3.576 0.000
0.000 0.000 4.026
Re
4
Cartesian
3.620 0.493 0.172
-0.309 2.292 1.841
-1.992 3.062 3.853
1.936 1.264 2.185
```

Results
ΔE_f	0.7681	eV per atom
V	17.00	Å³ per atom
ρ	18.19	g/cm3
magnetic moment	0.000	μB/atom
relative energy among the computed polymorphs	768	meV per atom


Record 5
Re: relaxed, PBE.

Structure (POSCAR):
```
Re
1.0
-2.977 -5.913 -3.095
4.461 -0.735 5.742
-3.348 0.304 2.640
Re
12
Cartesian
1.067 -0.900 3.187
-1.590 -0.255 3.204
-0.275 -6.089 2.083
-2.237 -2.993 2.699
1.155 -1.589 6.839
-3.858 -3.440 0.694
1.993 -2.904 4.593
-1.155 -4.855 4.286
-0.710 -1.489 1.001
-3.020 -4.755 -1.552
0.372 -3.351 2.588
-2.932 -5.444 2.099
```

Results
ΔE_f	0.3699	eV per atom
V	16.48	Å³ per atom
ρ	18.77	g/cm3
magnetic moment	0.000	μB/atom
relative energy among the computed polymorphs	370	meV per atom


Record 6
Re: relaxed, PBE.

Structure (POSCAR):
```
Re
1.0
4.408 0.000 0.000
-2.204 3.817 0.000
0.000 0.000 4.911
Re
4
Cartesian
0.000 2.545 0.000
2.204 1.272 4.911
2.204 1.272 2.456
0.000 2.545 2.455
```

Results
ΔE_f	1.3719	eV per atom
V	20.66	Å³ per atom
ρ	14.97	g/cm3
magnetic moment	0.000	μB/atom
relative energy among the computed polymorphs	1372	meV per atom


Record 7
Re: relaxed, PBE.

Structure (POSCAR):
```
Re
1.0
-3.098 -3.498 2.540
2.391 -3.990 -2.578
6.350 -0.634 6.871
Re
16
Cartesian
5.354 -4.305 4.253
3.033 -4.064 0.021
2.571 -2.151 3.825
4.249 -3.602 2.140
4.177 -6.674 5.122
-0.565 -3.741 3.377
1.356 -2.613 1.706
1.394 -4.521 4.694
-0.957 -5.578 0.370
1.112 -5.192 1.693
0.964 -4.450 -1.301
3.464 -4.135 6.016
3.072 -5.972 3.009
4.641 -1.765 5.147
-1.671 -3.038 1.264
0.250 -1.910 -0.408
```

Results
ΔE_f	1.0017	eV per atom
V	16.58	Å³ per atom
ρ	18.65	g/cm3
magnetic moment	0.000	μB/atom
relative energy among the computed polymorphs	1002	meV per atom


Record 8
Re: relaxed, PBE.

Structure (POSCAR):
```
Re
1.0
2.776 0.000 0.000
-1.388 2.404 0.000
0.000 0.000 8.961
Re
4
Cartesian
0.000 1.603 2.240
0.000 0.000 4.481
1.388 0.801 6.721
0.000 0.000 0.000
```

Results
ΔE_f	0.0060	eV per atom
V	14.95	Å³ per atom
ρ	20.68	g/cm3
magnetic moment	0.000	μB/atom
relative energy among the computed polymorphs	6	meV per atom


Record 9
Re: relaxed, PBE.

Structure (POSCAR):
```
Re
1.0
2.828 0.000 0.000
0.000 13.516 0.000
0.000 0.000 4.730
Re
12
Cartesian
1.414 2.328 3.311
0.000 6.758 1.667
1.414 6.758 4.083
1.414 4.430 0.947
0.000 11.389 0.913
0.000 8.885 3.278
0.000 2.127 0.913
1.414 11.188 3.311
1.414 9.086 0.947
0.000 4.631 3.278
1.414 0.000 1.718
0.000 0.000 4.032
```

Results
ΔE_f	0.0841	eV per atom
V	15.07	Å³ per atom
ρ	20.52	g/cm3
magnetic moment	0.000	μB/atom
relative energy among the computed polymorphs	84	meV per atom


Record 10
Re: relaxed, PBE.

Structure (POSCAR):
```
Re
1.0
6.935 0.009 0.005
6.378 2.724 0.005
6.378 1.309 2.389
Re
3
Cartesian
0.000 0.000 0.000
4.375 0.898 0.533
15.315 3.144 1.866
```

Results
ΔE_f	0.0047	eV per atom
V	14.97	Å³ per atom
ρ	20.65	g/cm3
magnetic moment	0.000	μB/atom
relative energy among the computed polymorphs	5	meV per atom


Record 11
Re: relaxed, PBE.

Structure (POSCAR):
```
Re
1.0
2.698 0.000 0.000
-0.899 2.544 0.000
-0.899 -1.272 2.203
Re
1
Cartesian
0.000 0.000 0.000
```

Results
ΔE_f	0.3199	eV per atom
V	15.12	Å³ per atom
ρ	20.45	g/cm3
magnetic moment	0.000	μB/atom
relative energy among the computed polymorphs	320	meV per atom


Record 12
Re: relaxed, PBE.

Structure (POSCAR):
```
Re
1.0
-2.380 -1.662 2.433
2.917 -0.890 -2.246
1.987 1.946 2.571
Re
2
Cartesian
-1.221 -1.079 2.491
3.745 0.473 0.267
```

Results
ΔE_f	1.0167	eV per atom
V	16.52	Å³ per atom
ρ	18.72	g/cm3
magnetic moment	0.000	μB/atom
relative energy among the computed polymorphs	1017	meV per atom